Here is NaCdAg2P after structural relaxation from Alexandria. Energies are from PBE.

The energy is -12.6 eV/cell. As for the formation energy from the elements: 142 meV/atom. For the mass density, the calculation gives 5.1 Mg/m³. The total magnetization comes out at 0.0 μB/cell.

The space group is P4/mmm (No. 123) and the conventional cell measures 4.800, 4.800 and 5.449 Å, with angles of 90.00, 90.00 and 90.00 degrees. Symmetry generates all atoms from Na at (0.000, 0.000, 0.000), Cd at (0.500, 0.500, 0.000), Ag at (0.000, 0.500, 0.500) and P at (0.500, 0.500, 0.500).